Record 1
# VNi5Rh6 | Alexandria | PBE-GGA | optimized geometry
data_VNi5Rh6
_cell_length_a 3.790
_cell_length_b 7.163
_cell_length_c 11.324
_cell_angle_alpha 90.00
_cell_angle_beta 90.00
_cell_angle_gamma 90.00
_symmetry_space_group_name_H-M 'I m m m'
_symmetry_Int_Tables_number 71
_symmetry_space_group_name_Hall '-I 2 2'
loop_
_atom_site_label
_atom_site_type_symbol
_atom_site_fract_x
_atom_site_fract_y
_atom_site_fract_z
_atom_site_occupancy
V1 V 0.000 0.000 0.000 1
Ni1 Ni 0.000 0.000 0.337 1
Ni2 Ni 0.000 0.500 0.000 1
Ni3 Ni 0.000 0.500 0.336 1
Rh1 Rh 0.000 0.248 0.167 1
Rh2 Rh 0.000 0.253 0.500 1
# **Formation enthalpy at 0 K**: -0.082 eV/atom

=====

Record 2
# V2Ni3Rh2 | Alexandria | PBE-GGA | optimized geometry
data_V2Ni3Rh2
_cell_length_a 4.175
_cell_length_b 9.970
_cell_length_c 4.461
_cell_angle_alpha 90.00
_cell_angle_beta 98.61
_cell_angle_gamma 90.00
_symmetry_space_group_name_H-M 'P 1 21/c 1'
_symmetry_Int_Tables_number 14
_symmetry_space_group_name_Hall '-P 2ybc'
loop_
_atom_site_label
_atom_site_type_symbol
_atom_site_fract_x
_atom_site_fract_y
_atom_site_fract_z
_atom_site_occupancy
V1 V 0.085 0.145 0.481 1
Ni1 Ni 0.000 0.000 0.000 1
Ni2 Ni 0.451 0.556 0.228 1
Rh1 Rh 0.383 0.684 0.699 1
# **Relative energy among the computed polymorphs**: 181 meV per atom
# **Formation enthalpy at 0 K**: -0.030 eV/atom

=====

Record 3
# V2NiRh9 | Alexandria | PBE-GGA | optimized geometry
data_V2NiRh9
_cell_length_a 3.810
_cell_length_b 3.810
_cell_length_c 11.391
_cell_angle_alpha 90.00
_cell_angle_beta 90.00
_cell_angle_gamma 90.00
_symmetry_space_group_name_H-M 'P 4/m m m'
_symmetry_Int_Tables_number 123
_symmetry_space_group_name_Hall '-P 4 2'
loop_
_atom_site_label
_atom_site_type_symbol
_atom_site_fract_x
_atom_site_fract_y
_atom_site_fract_z
_atom_site_occupancy
V1 V 0.000 0.000 0.172 1
Ni1 Ni 0.000 0.000 0.500 1
Rh1 Rh 0.000 0.500 0.000 1
Rh2 Rh 0.000 0.500 0.332 1
Rh3 Rh 0.500 0.500 0.166 1
Rh4 Rh 0.500 0.500 0.500 1
# **Formation enthalpy at 0 K**: -0.248 eV/atom